Record 1
4
Lattice="4.9191 0.0003 0.0017 2.2488 4.3750 -0.0017 -3.1263 -2.9375 2.4074" Properties=species:S:1:pos:R:3 comment="PBE-GGA AlCoRu2, relaxed" dos_at_fermi_per_ev_atom=1.094 formation_enthalpy_0k_ev_per_fu=-0.71 pbc="T T T"
Al 3.5275 2.1532 0.0000
Co 1.4438 1.8678 1.2029
Ru 2.6240 -0.4141 1.2045
Ru 0.0304 0.0186 0.0000

Record 2
4
Lattice="2.7835 0.0031 0.0000 -0.0044 2.7835 0.0000 0.0000 0.0000 7.1610" Properties=species:S:1:pos:R:3 comment="PBE-GGA Al2CoRu, relaxed" dos_at_fermi_per_ev_atom=0.800 formation_enthalpy_0k_ev_per_fu=-0.68 pbc="T T T"
Al 1.3896 1.3933 2.0760
Ru 1.3896 1.3933 5.2410
Co 0.0000 0.0000 3.6207
Al 0.0000 0.0000 6.9647

Record 3
4
Lattice="3.5729 0.0000 0.0000 0.0000 2.6496 0.0195 0.0000 2.6079 5.1341" Properties=species:S:1:pos:R:3 comment="PBE-GGA AlCo2Ru, relaxed" dos_at_fermi_per_ev_atom=1.160 formation_enthalpy_0k_ev_per_fu=-0.57 pbc="T T T"
Co 0.0000 2.6285 2.5597
Al 1.7864 3.9431 3.8652
Ru 1.7864 1.3144 1.2884
Co 0.0000 2.6499 0.0365

Record 4
3
Lattice="3.9649 0.0000 0.0000 1.9825 3.4337 0.0000 1.9825 1.1446 3.2373" Properties=species:S:1:pos:R:3 comment="PBE-GGA AlCoRu, relaxed" dos_at_fermi_per_ev_atom=0.917 formation_enthalpy_0k_ev_per_fu=-0.03 pbc="T T T"
Ru 0.0000 0.0000 0.0000
Al 3.9649 2.2891 1.6187
Co 5.9474 3.4337 2.4280

Record 5
12
Lattice="-4.1194 2.5108 -0.3891 -4.1309 -1.7282 5.9576 -0.1295 1.9561 6.0803" Properties=species:S:1:pos:R:3 comment="PBE-GGA AlCoRu, relaxed" dos_at_fermi_per_ev_atom=0.943 formation_enthalpy_0k_ev_per_fu=-0.68 pbc="T T T"
Ru -6.4742 1.7578 8.5108
Al -4.2947 -0.5659 6.9416
Al -2.2940 1.2762 7.0030
Ru -4.3440 1.6438 2.4918
Co -4.7307 1.9290 6.7423
Al -4.0851 3.3046 4.7072
Ru -4.0358 1.0949 9.1570
Al -6.0859 1.4625 4.6458
Co -5.7794 0.9236 10.9255
Co -3.6492 0.8097 4.9066
Ru -1.9056 0.9809 3.1380
Co -2.6005 1.8150 0.7233

Record 6
4
Lattice="4.4487 -0.0141 0.0000 1.4657 4.2004 0.0000 -2.9572 -2.0931 2.5817" Properties=species:S:1:pos:R:3 comment="PBE-GGA AlCo2Ru, relaxed" dos_at_fermi_per_ev_atom=1.491 formation_enthalpy_0k_ev_per_fu=-0.66 pbc="T T T"
Al 2.2244 -0.0070 1.2908
Co 2.9572 2.0931 0.0000
Co 0.0000 0.0000 0.0000
Ru 0.7329 2.1002 1.2908